[1]
VASP calculation (PBE) on UGe2Ru4 after structural relaxation.

As for the formation enthalpy at 0 K: -1.2 eV/f.u. The value obtained for the density of states at the Fermi level is 13.2 states/eV/cell. Its electronic total energy is -8.40 eV per atom.

The structure belongs to space group R-3m (No. 166, hexagonal axes); the cell edges are 4.4689, 4.4689 and 20.2958 Å and the angles 90.00°, 90.00° and 120.00°. Symmetry generates all atoms from U at (0.0000, 0.0000, 0.0000), Ge at (0.0000, 0.0000, 0.2454), Ru at (0.0000, 0.0000, 0.1224) and Ru at (0.0000, 0.0000, 0.3796).

=====

[2]
VASP calculation (PBE) on U2GeRu after structural relaxation.

As for the formation enthalpy at 0 K: -1.0 eV/f.u. The value obtained for the density of states at the Fermi level is 6.9 states/eV/cell. Its electronic total energy is -9.36 eV per atom.

The structure belongs to space group P4/mmm (No. 123); the cell edges are 3.718, 3.718 and 5.641 Å and the angles 90.00°, 90.00° and 90.00°. Symmetry generates all atoms from U at (0.000, 0.000, 0.247), Ge at (0.500, 0.500, 0.000) and Ru at (0.500, 0.500, 0.500).

=====

[3]
VASP calculation (PBE) on UGe2Ru after structural relaxation.

As for the formation enthalpy at 0 K: -0.6 eV/f.u. As for the energy above the most stable polymorph in this dataset: 0.45 eV per formula unit. The value obtained for the density of states at the Fermi level is 5.4 states/eV/cell. Its electronic total energy is -7.61 eV per atom.

The structure belongs to space group P4/mmm (No. 123); the cell edges are 3.075, 3.075 and 7.303 Å and the angles 90.00°, 90.00° and 90.00°. Symmetry generates all atoms from U at (0.000, 0.000, 0.000), Ge at (0.500, 0.500, 0.295) and Ru at (0.000, 0.000, 0.500).

=====

[4]
VASP calculation (PBE) on UGeRu2 after structural relaxation.

As for the formation enthalpy at 0 K: -1.2 eV/f.u. The value obtained for the density of states at the Fermi level is 5.3 states/eV/cell. Its electronic total energy is -8.92 eV per atom.

The structure belongs to space group P4/mmm (No. 123); the cell edges are 4.242, 4.242 and 3.709 Å and the angles 90.00°, 90.00° and 90.00°. Symmetry generates all atoms from U at (0.000, 0.000, 0.000), Ge at (0.500, 0.500, 0.000) and Ru at (0.000, 0.500, 0.500).

=====

[5]
VASP calculation (PBE) on UGeRu3 after structural relaxation.

As for the formation enthalpy at 0 K: -1.4 eV/f.u. The value obtained for the density of states at the Fermi level is 35.0 states/eV/cell. Its electronic total energy is -9.02 eV per atom.

The structure belongs to space group C2/c (No. 15); the cell edges are 11.112, 5.562 and 11.119 Å and the angles 90.00°, 94.29° and 90.00°. Symmetry generates all atoms from U at (0.133, 0.248, 0.367), Ge at (0.000, 0.251, 0.750), Ge at (0.250, 0.250, 0.000), Ru at (0.010, 0.250, 0.990), Ru at (0.158, 0.001, 0.158) and Ru at (0.158, 0.500, 0.158).

=====

[6]
VASP calculation (PBE) on U2GeRu after structural relaxation.

As for the formation enthalpy at 0 K: -1.0 eV/f.u. The value obtained for the density of states at the Fermi level is 12.4 states/eV/cell. Its electronic total energy is -9.37 eV per atom.

The structure belongs to space group P2_1/m (No. 11); the cell edges are 5.678, 4.479 and 6.126 Å and the angles 90.00°, 102.65° and 90.00°. Symmetry generates all atoms from U at (0.108, 0.250, 0.474), U at (0.206, 0.250, 0.903), Ge at (0.422, 0.750, 0.680) and Ru at (0.297, 0.750, 0.217).

=====

[7]
VASP calculation (PBE) on UGeRu2 after structural relaxation.

As for the formation enthalpy at 0 K: -1.3 eV/f.u. The value obtained for the density of states at the Fermi level is 10.1 states/eV/cell. Its electronic total energy is -8.95 eV per atom.

The structure belongs to space group P3_121 (No. 152); the cell edges are 5.7449, 5.7449 and 7.2879 Å and the angles 90.00°, 90.00° and 120.00°. Symmetry generates all atoms from U at (0.0000, 0.6197, 0.1667), Ge at (0.0000, 0.8381, 0.6667) and Ru at (0.1722, 0.5296, 0.8175).

=====

[8]
VASP calculation (PBE) on UGe6Ru5 after structural relaxation.

As for the formation enthalpy at 0 K: -1.5 eV/f.u. The value obtained for the density of states at the Fermi level is 18.3 states/eV/cell. Its electronic total energy is -7.24 eV per atom.

The structure belongs to space group C2/m (No. 12); the cell edges are 5.346, 11.632 and 6.726 Å and the angles 90.00°, 111.25° and 90.00°. Symmetry generates all atoms from U at (0.000, 0.000, 0.000), Ge at (0.014, 0.192, 0.300), Ge at (0.067, 0.500, 0.215), Ru at (0.000, 0.000, 0.500), Ru at (0.000, 0.314, 0.000) and Ru at (0.000, 0.379, 0.500).

=====

[9]
VASP calculation (PBE) on UGe3Ru3 after structural relaxation.

As for the formation enthalpy at 0 K: 2.5 eV/f.u. The value obtained for the density of states at the Fermi level is 12.2 states/eV/cell. Its electronic total energy is -7.21 eV per atom.

The structure belongs to space group Pm-3n (No. 223); the cell edges are 6.672, 6.672 and 6.672 Å and the angles 90.00°, 90.00° and 90.00°. Symmetry generates all atoms from U at (0.000, 0.000, 0.000), Ge at (0.000, 0.250, 0.500) and Ru at (0.000, 0.500, 0.250).

=====

[10]
VASP calculation (PBE) on U2GeRu after structural relaxation.

As for the formation enthalpy at 0 K: -0.9 eV/f.u. The value obtained for the density of states at the Fermi level is 7.4 states/eV/cell. Its electronic total energy is -9.35 eV per atom.

The structure belongs to space group P4/mmm (No. 123); the cell edges are 4.100, 4.100 and 4.334 Å and the angles 90.00°, 90.00° and 90.00°. Symmetry generates all atoms from U at (0.000, 0.500, 0.000), Ge at (0.000, 0.000, 0.500) and Ru at (0.500, 0.500, 0.500).

=====

[11]
VASP calculation (PBE) on U4GeRu after structural relaxation.

As for the formation enthalpy at 0 K: -0.3 eV/f.u. The value obtained for the density of states at the Fermi level is 40.2 states/eV/cell. Its electronic total energy is -9.90 eV per atom.

The structure belongs to space group Pbam (No. 55); the cell edges are 10.837, 15.162 and 2.878 Å and the angles 90.00°, 90.00° and 90.00°. Symmetry generates all atoms from U at (0.032, 0.220, 0.000), U at (0.131, 0.443, 0.000), U at (0.143, 0.073, 0.000), U at (0.238, 0.296, 0.000), Ge at (0.112, 0.630, 0.500) and Ru at (0.107, 0.924, 0.500).

=====

[12]
VASP calculation (PBE) on U2GeRu after structural relaxation.

As for the formation enthalpy at 0 K: -0.8 eV/f.u. The value obtained for the density of states at the Fermi level is 16.5 states/eV/cell. Its electronic total energy is -9.33 eV per atom.

The structure belongs to space group P6_3/mmc (No. 194); the cell edges are 4.2688, 4.2688 and 9.6188 Å and the angles 90.00°, 90.00° and 120.00°. Symmetry generates all atoms from U at (0.3333, 0.6667, 0.0627), Ge at (0.0000, 0.0000, 0.2500) and Ru at (0.3333, 0.6667, 0.7500).

=====

[13]
VASP calculation (PBE) on UGe2Ru after structural relaxation.

As for the formation enthalpy at 0 K: -1.1 eV/f.u. As for the energy above the most stable polymorph in this dataset: 0.00 eV per formula unit. The value obtained for the density of states at the Fermi level is 14.2 states/eV/cell. Its electronic total energy is -7.72 eV per atom.

The structure belongs to space group C2/m (No. 12); the cell edges are 7.345, 4.244 and 5.321 Å and the angles 90.00°, 117.48° and 90.00°. Symmetry generates all atoms from U at (0.000, 0.000, 0.000), Ge at (0.223, 0.000, 0.670) and Ru at (0.000, 0.500, 0.500).

=====

[14]
VASP calculation (PBE) on U3GeRu5 after structural relaxation.

As for the formation enthalpy at 0 K: 0.1 eV/f.u. The value obtained for the density of states at the Fermi level is 51.4 states/eV/cell. Its electronic total energy is -9.42 eV per atom.

The structure belongs to space group I4/mcm (No. 140); the cell edges are 7.480, 7.480 and 11.615 Å and the angles 90.00°, 90.00° and 90.00°. Symmetry generates all atoms from U at (0.000, 0.000, 0.250), U at (0.124, 0.376, 0.000), Ge at (0.000, 0.500, 0.250), Ru at (0.000, 0.000, 0.000) and Ru at (0.204, 0.296, 0.360).

=====

[15]
VASP calculation (PBE) on UGeRu2 after structural relaxation.

As for the formation enthalpy at 0 K: 0.2 eV/f.u. The value obtained for the density of states at the Fermi level is 14.0 states/eV/cell. Its electronic total energy is -8.56 eV per atom.

The structure belongs to space group R-3m (No. 166, hexagonal axes); the cell edges are 2.9309, 2.9309 and 26.1237 Å and the angles 90.00°, 90.00° and 120.00°. Symmetry generates all atoms from U at (0.0000, 0.0000, 0.0000), Ge at (0.0000, 0.0000, 0.5000) and Ru at (0.0000, 0.0000, 0.2401).

=====

[16]
VASP calculation (PBE) on UGe2Ru after structural relaxation.

As for the formation enthalpy at 0 K: 0.4 eV/f.u. As for the energy above the most stable polymorph in this dataset: 1.46 eV per formula unit. The value obtained for the density of states at the Fermi level is 19.2 states/eV/cell. Its electronic total energy is -7.36 eV per atom.

The structure belongs to space group R-3m (No. 166, hexagonal axes); the cell edges are 2.9558, 2.9558 and 29.3591 Å and the angles 90.00°, 90.00° and 120.00°. Symmetry generates all atoms from U at (0.0000, 0.0000, 0.0000), Ge at (0.0000, 0.0000, 0.1011) and Ru at (0.0000, 0.0000, 0.5000).

=====

[17]
VASP calculation (PBE) on VGe3Ru4 after structural relaxation.

As for the formation enthalpy at 0 K: -2.3 eV/f.u. The value obtained for the density of states at the Fermi level is 7.7 states/eV/cell. Its electronic total energy is -7.79 eV per atom.

The structure belongs to space group I4/mmm (No. 139); the cell edges are 4.279, 4.279 and 12.147 Å and the angles 90.00°, 90.00° and 90.00°. Symmetry generates all atoms from V at (0.000, 0.000, 0.000), Ge at (0.000, 0.000, 0.247), Ge at (0.000, 0.000, 0.500) and Ru at (0.000, 0.500, 0.125).

=====

[18]
VASP calculation (PBE) on VGe2Ru4 after structural relaxation.

As for the formation enthalpy at 0 K: -1.1 eV/f.u. The value obtained for the density of states at the Fermi level is 14.7 states/eV/cell. Its electronic total energy is -8.08 eV per atom.

The structure belongs to space group R-3m (No. 166, hexagonal axes); the cell edges are 4.1783, 4.1783 and 20.6440 Å and the angles 90.00°, 90.00° and 120.00°. Symmetry generates all atoms from V at (0.0000, 0.0000, 0.0000), Ge at (0.0000, 0.0000, 0.2463), Ru at (0.0000, 0.0000, 0.1246) and Ru at (0.0000, 0.0000, 0.3730).

=====

[19]
VASP calculation (PBE) on VGeRu after structural relaxation.

As for the formation enthalpy at 0 K: -0.7 eV/f.u. The value obtained for the density of states at the Fermi level is 5.0 states/eV/cell. Its electronic total energy is -7.90 eV per atom.

The structure belongs to space group I4mm (No. 107); the cell edges are 2.983, 2.983 and 9.297 Å and the angles 90.00°, 90.00° and 90.00°. Symmetry generates all atoms from V at (0.000, 0.000, 0.000), Ge at (0.000, 0.000, 0.669) and Ru at (0.000, 0.000, 0.331).

=====

[20]
VASP calculation (PBE) on V5Ge5Ru after structural relaxation.

As for the formation enthalpy at 0 K: 2.4 eV/f.u. The value obtained for the density of states at the Fermi level is 19.4 states/eV/cell. Its electronic total energy is -6.87 eV per atom.

The structure belongs to space group C2/m (No. 12); the cell edges are 9.521, 4.927 and 8.105 Å and the angles 90.00°, 114.88° and 90.00°. Symmetry generates all atoms from V at (0.000, 0.000, 0.000), V at (0.108, 0.500, 0.228), V at (0.182, 0.500, 0.857), Ge at (0.000, 0.500, 0.500), Ge at (0.150, 0.000, 0.822), Ge at (0.191, 0.000, 0.364) and Ru at (0.000, 0.000, 0.500).